Record 1
A relaxed structure of SmMg15Sc4, computed with GGA-PBE.

Summary:
For the energy of formation, the calculation gives -0.046 eV/atom. Its raw total energy is -54.89 eV for the cell shown. The size of the total moment is 0.0000 μB per atom.

```
data_SmMg15Sc4
_space_group_name_H-M_alt 'P 1'
_space_group_IT_number 1
_cell_length_a 4.606
_cell_length_b 4.606
_cell_length_c 22.244
_cell_angle_alpha 90.00
_cell_angle_beta 90.00
_cell_angle_gamma 90.00
loop_
_space_group_symop_operation_xyz
'x,y,z'
loop_
_atom_site_label
_atom_site_type_symbol
_atom_site_fract_x
_atom_site_fract_y
_atom_site_fract_z
Mg1 Mg 0.500 0.500 0.000
Mg2 Mg 0.500 0.000 0.108
Mg3 Mg 0.000 0.500 0.305
Mg4 Mg 0.500 0.500 0.402
Mg5 Mg 0.000 0.500 0.500
Mg6 Mg 0.500 0.000 0.305
Mg7 Mg 0.500 0.500 0.793
Mg8 Mg 0.500 0.000 0.892
Mg9 Mg 0.500 0.500 0.598
Mg10 Mg 0.000 0.500 0.108
Mg11 Mg 0.000 0.500 0.892
Mg12 Mg 0.500 0.000 0.500
Mg13 Mg 0.000 0.500 0.695
Mg14 Mg 0.500 0.000 0.695
Mg15 Mg 0.500 0.500 0.207
Sc1 Sc 0.000 0.000 0.403
Sc2 Sc 0.000 0.000 0.207
Sc3 Sc 0.000 0.000 0.597
Sc4 Sc 0.000 0.000 0.793
Sm1 Sm 0.000 0.000 0.000
```


Record 2
A relaxed structure of Sm2MgSc, computed with GGA-PBE.

Summary:
For the energy of formation, the calculation gives -0.006 eV/atom. Its raw total energy is -17.39 eV for the cell shown. The size of the total moment is 0.0082 μB per atom.

```
data_Sm2MgSc
_space_group_name_H-M_alt 'P 1'
_space_group_IT_number 1
_cell_length_a 3.636
_cell_length_b 3.636
_cell_length_c 8.771
_cell_angle_alpha 90.00
_cell_angle_beta 90.00
_cell_angle_gamma 90.00
loop_
_space_group_symop_operation_xyz
'x,y,z'
loop_
_atom_site_label
_atom_site_type_symbol
_atom_site_fract_x
_atom_site_fract_y
_atom_site_fract_z
Sm1 Sm 0.000 0.000 0.251
Sm2 Sm 0.000 0.000 0.749
Sc1 Sc 0.500 0.500 0.000
Mg1 Mg 0.500 0.500 0.500
```


Record 3
A relaxed structure of SmMg4Sc, computed with GGA-PBE.

Summary:
For the energy of formation, the calculation gives -0.034 eV/atom. Its raw total energy is -17.63 eV for the cell shown. The size of the total moment is 0.0492 μB per atom.

```
data_SmMg4Sc
_space_group_name_H-M_alt 'P 1'
_space_group_IT_number 1
_cell_length_a 3.305
_cell_length_b 7.131
_cell_length_c 8.585
_cell_angle_alpha 123.91
_cell_angle_beta 78.90
_cell_angle_gamma 76.60
loop_
_space_group_symop_operation_xyz
'x,y,z'
loop_
_atom_site_label
_atom_site_type_symbol
_atom_site_fract_x
_atom_site_fract_y
_atom_site_fract_z
Mg1 Mg 0.676 0.993 0.654
Mg2 Mg 0.324 0.007 0.346
Mg3 Mg 0.153 0.522 0.173
Mg4 Mg 0.847 0.478 0.827
Sc1 Sc 0.500 0.500 0.500
Sm1 Sm 0.000 0.000 0.000
```


Record 4
A relaxed structure of SmMgSc, computed with GGA-PBE.

Summary:
For the energy of formation, the calculation gives -0.020 eV/atom. Its raw total energy is -12.71 eV for the cell shown. The size of the total moment is 0.1205 μB per atom.

```
data_SmMgSc
_space_group_name_H-M_alt 'P 1'
_space_group_IT_number 1
_cell_length_a 3.500
_cell_length_b 3.500
_cell_length_c 7.076
_cell_angle_alpha 104.32
_cell_angle_beta 104.32
_cell_angle_gamma 90.00
loop_
_space_group_symop_operation_xyz
'x,y,z'
loop_
_atom_site_label
_atom_site_type_symbol
_atom_site_fract_x
_atom_site_fract_y
_atom_site_fract_z
Mg1 Mg 0.657 0.657 0.315
Sc1 Sc 0.008 0.008 0.016
Sm1 Sm 0.335 0.335 0.669
```


Record 5
A relaxed structure of SmMg14Sc, computed with GGA-PBE.

Summary:
For the energy of formation, the calculation gives -0.024 eV/atom. Its raw total energy is -33.76 eV for the cell shown. The size of the total moment is 0.0000 μB per atom.

```
data_SmMg14Sc
_space_group_name_H-M_alt 'P 1'
_space_group_IT_number 1
_cell_length_a 6.897
_cell_length_b 6.897
_cell_length_c 7.930
_cell_angle_alpha 90.00
_cell_angle_beta 90.00
_cell_angle_gamma 89.98
loop_
_space_group_symop_operation_xyz
'x,y,z'
loop_
_atom_site_label
_atom_site_type_symbol
_atom_site_fract_x
_atom_site_fract_y
_atom_site_fract_z
Mg1 Mg 0.375 0.375 0.000
Mg2 Mg 0.375 0.875 0.000
Mg3 Mg 0.119 0.119 0.757
Mg4 Mg 0.119 0.631 0.757
Mg5 Mg 0.875 0.875 0.000
Mg6 Mg 0.631 0.119 0.243
Mg7 Mg 0.119 0.119 0.243
Mg8 Mg 0.375 0.875 0.500
Mg9 Mg 0.631 0.631 0.243
Mg10 Mg 0.875 0.375 0.000
Mg11 Mg 0.119 0.631 0.243
Mg12 Mg 0.631 0.119 0.757
Mg13 Mg 0.875 0.375 0.500
Mg14 Mg 0.631 0.631 0.757
Sm1 Sm 0.375 0.375 0.500
Sc1 Sc 0.875 0.875 0.500
```


Record 6
A relaxed structure of SmMgSc, computed with GGA-PBE.

Summary:
For the energy of formation, the calculation gives 0.060 eV/atom. Its raw total energy is -12.47 eV for the cell shown. The size of the total moment is 0.0001 μB per atom.

```
data_SmMgSc
_space_group_name_H-M_alt 'P 1'
_space_group_IT_number 1
_cell_length_a 3.314
_cell_length_b 5.326
_cell_length_c 5.326
_cell_angle_alpha 120.00
_cell_angle_beta 90.00
_cell_angle_gamma 90.00
loop_
_space_group_symop_operation_xyz
'x,y,z'
loop_
_atom_site_label
_atom_site_type_symbol
_atom_site_fract_x
_atom_site_fract_y
_atom_site_fract_z
Sm1 Sm 0.685 0.667 0.333
Sc1 Sc 0.244 0.333 0.667
Mg1 Mg 0.070 0.000 0.000
```


Record 7
A relaxed structure of SmMg4Sc, computed with GGA-PBE.

Summary:
For the energy of formation, the calculation gives -0.032 eV/atom. Its raw total energy is -17.62 eV for the cell shown. The size of the total moment is 0.0004 μB per atom.

```
data_SmMg4Sc
_space_group_name_H-M_alt 'P 1'
_space_group_IT_number 1
_cell_length_a 5.968
_cell_length_b 5.968
_cell_length_c 5.968
_cell_angle_alpha 60.00
_cell_angle_beta 60.00
_cell_angle_gamma 60.00
loop_
_space_group_symop_operation_xyz
'x,y,z'
loop_
_atom_site_label
_atom_site_type_symbol
_atom_site_fract_x
_atom_site_fract_y
_atom_site_fract_z
Mg1 Mg 0.124 0.625 0.625
Mg2 Mg 0.625 0.625 0.625
Mg3 Mg 0.625 0.625 0.124
Mg4 Mg 0.625 0.124 0.625
Sm1 Sm 0.250 0.250 0.250
Sc1 Sc 0.000 0.000 0.000
```


Record 8
A relaxed structure of Sm4Mg2Sc, computed with GGA-PBE.

Summary:
For the energy of formation, the calculation gives 0.260 eV/atom. Its raw total energy is -26.58 eV for the cell shown. The size of the total moment is 0.0000 μB per atom.

```
data_Sm4Mg2Sc
_space_group_name_H-M_alt 'P 1'
_space_group_IT_number 1
_cell_length_a 5.522
_cell_length_b 5.522
_cell_length_c 9.304
_cell_angle_alpha 72.74
_cell_angle_beta 72.74
_cell_angle_gamma 60.00
loop_
_space_group_symop_operation_xyz
'x,y,z'
loop_
_atom_site_label
_atom_site_type_symbol
_atom_site_fract_x
_atom_site_fract_y
_atom_site_fract_z
Sm1 Sm 0.131 0.131 0.608
Sm2 Sm 0.741 0.741 0.777
Sm3 Sm 0.869 0.869 0.392
Sm4 Sm 0.259 0.259 0.223
Mg1 Mg 0.382 0.382 0.854
Mg2 Mg 0.618 0.618 0.146
Sc1 Sc 0.500 0.500 0.500
```


Record 9
A relaxed structure of SmMg5Sc4, computed with GGA-PBE.

Summary:
For the energy of formation, the calculation gives -0.045 eV/atom. Its raw total energy is -38.47 eV for the cell shown. The size of the total moment is 0.0000 μB per atom.

```
data_SmMg5Sc4
_space_group_name_H-M_alt 'P 1'
_space_group_IT_number 1
_cell_length_a 3.622
_cell_length_b 3.622
_cell_length_c 18.518
_cell_angle_alpha 90.00
_cell_angle_beta 90.00
_cell_angle_gamma 90.00
loop_
_space_group_symop_operation_xyz
'x,y,z'
loop_
_atom_site_label
_atom_site_type_symbol
_atom_site_fract_x
_atom_site_fract_y
_atom_site_fract_z
Mg1 Mg 0.500 0.500 0.500
Mg2 Mg 0.500 0.500 0.693
Mg3 Mg 0.500 0.500 0.307
Mg4 Mg 0.500 0.500 0.116
Mg5 Mg 0.500 0.500 0.884
Sm1 Sm 0.000 0.000 0.000
Sc1 Sc 0.000 0.000 0.596
Sc2 Sc 0.000 0.000 0.211
Sc3 Sc 0.000 0.000 0.404
Sc4 Sc 0.000 0.000 0.789
```


Record 10
A relaxed structure of Sm6MgSc2, computed with GGA-PBE.

Summary:
For the energy of formation, the calculation gives 0.181 eV/atom. Its raw total energy is -40.94 eV for the cell shown. The size of the total moment is 0.0000 μB per atom.

```
data_Sm6MgSc2
_space_group_name_H-M_alt 'P 1'
_space_group_IT_number 1
_cell_length_a 3.372
_cell_length_b 9.824
_cell_length_c 10.022
_cell_angle_alpha 119.35
_cell_angle_beta 99.77
_cell_angle_gamma 90.00
loop_
_space_group_symop_operation_xyz
'x,y,z'
loop_
_atom_site_label
_atom_site_type_symbol
_atom_site_fract_x
_atom_site_fract_y
_atom_site_fract_z
Mg1 Mg 0.000 0.000 0.000
Sm1 Sm 0.163 0.357 0.337
Sm2 Sm 0.837 0.643 0.663
Sm3 Sm 0.500 0.312 0.000
Sm4 Sm 0.500 0.688 0.000
Sm5 Sm 0.837 0.020 0.663
Sm6 Sm 0.163 0.980 0.337
Sc1 Sc 0.652 0.667 0.334
Sc2 Sc 0.348 0.333 0.666
```


Record 11
A relaxed structure of Sm4MgSc, computed with GGA-PBE.

Summary:
For the energy of formation, the calculation gives 0.000 eV/atom. Its raw total energy is -26.80 eV for the cell shown. The size of the total moment is 0.0001 μB per atom.

```
data_Sm4MgSc
_space_group_name_H-M_alt 'P 1'
_space_group_IT_number 1
_cell_length_a 3.590
_cell_length_b 3.590
_cell_length_c 14.176
_cell_angle_alpha 90.00
_cell_angle_beta 90.00
_cell_angle_gamma 90.00
loop_
_space_group_symop_operation_xyz
'x,y,z'
loop_
_atom_site_label
_atom_site_type_symbol
_atom_site_fract_x
_atom_site_fract_y
_atom_site_fract_z
Sm1 Sm 0.000 0.000 0.658
Sm2 Sm 0.500 0.500 0.164
Sm3 Sm 0.500 0.500 0.836
Sm4 Sm 0.000 0.000 0.342
Sc1 Sc 0.000 0.000 0.000
Mg1 Mg 0.500 0.500 0.500
```


Record 12
A relaxed structure of SmMgScSn, computed with GGA-PBE.

Summary:
For the energy of formation, the calculation gives -0.379 eV/atom. Its raw total energy is -18.16 eV for the cell shown. The size of the total moment is 0.0000 μB per atom.

```
data_SmMgScSn
_space_group_name_H-M_alt 'P 1'
_space_group_IT_number 1
_cell_length_a 5.204
_cell_length_b 5.204
_cell_length_c 5.204
_cell_angle_alpha 60.00
_cell_angle_beta 60.00
_cell_angle_gamma 60.00
loop_
_space_group_symop_operation_xyz
'x,y,z'
loop_
_atom_site_label
_atom_site_type_symbol
_atom_site_fract_x
_atom_site_fract_y
_atom_site_fract_z
Sn1 Sn 0.250 0.250 0.250
Sm1 Sm 0.500 0.500 0.500
Sc1 Sc 0.000 0.000 0.000
Mg1 Mg 0.750 0.750 0.750
```


Record 13
A relaxed structure of TbSmMgSc, computed with GGA-PBE.

Summary:
For the energy of formation, the calculation gives 0.020 eV/atom. Its raw total energy is -17.20 eV for the cell shown. The size of the total moment is 0.0003 μB per atom.

```
data_TbSmMgSc
_space_group_name_H-M_alt 'P 1'
_space_group_IT_number 1
_cell_length_a 5.421
_cell_length_b 5.421
_cell_length_c 5.421
_cell_angle_alpha 60.00
_cell_angle_beta 60.00
_cell_angle_gamma 60.00
loop_
_space_group_symop_operation_xyz
'x,y,z'
loop_
_atom_site_label
_atom_site_type_symbol
_atom_site_fract_x
_atom_site_fract_y
_atom_site_fract_z
Sc1 Sc 0.000 0.000 0.000
Sm1 Sm 0.750 0.750 0.750
Tb1 Tb 0.250 0.250 0.250
Mg1 Mg 0.500 0.500 0.500
```